[1]
# ZrGaHg | OQMD | PBE | relaxed
data_ZrGaHg
_chemical_formula_sum 'Zr4 Ga4 Hg4'
_symmetry_space_group_name_H-M 'F -4 3 m'
_symmetry_Int_Tables_number 216
_symmetry_space_group_name_Hall 'F -4 2 3'
_cell_length_a 6.3969
_cell_length_b 6.3969
_cell_length_c 6.3969
_cell_angle_alpha 90.00
_cell_angle_beta 90.00
_cell_angle_gamma 90.00
loop_
_atom_site_label
_atom_site_type_symbol
_atom_site_fract_x
_atom_site_fract_y
_atom_site_fract_z
Zr1 Zr 0.0000 0.0000 0.0000
Ga1 Ga 0.2500 0.2500 0.7500
Hg1 Hg 0.0000 0.0000 0.5000
# - offset from the most stable computed form (kJ/mol of formula units) = 0

=====

[2]
# Zn2CdAs2O8 | OQMD | PBE | relaxed
data_Zn2CdAs2O8
_chemical_formula_sum 'Zn2 Cd1 As2 O8'
_symmetry_space_group_name_H-M 'P -1'
_symmetry_Int_Tables_number 2
_cell_length_a 5.2426
_cell_length_b 5.3529
_cell_length_c 6.6502
_cell_angle_alpha 70.64
_cell_angle_beta 84.10
_cell_angle_gamma 66.51
loop_
_symmetry_equiv_pos_as_xyz
'x,y,z'
'-x,-y,-z'
loop_
_atom_site_label
_atom_site_type_symbol
_atom_site_fract_x
_atom_site_fract_y
_atom_site_fract_z
Zn1 Zn 0.2234 0.2782 0.1747
Cd1 Cd 0.5000 0.5000 0.5000
As1 As 0.1468 0.1113 0.7322
O1 O 0.1197 0.3447 0.8693
O2 O 0.1710 0.9007 0.2931
O3 O 0.2514 0.2662 0.4857
O4 O 0.3792 0.7705 0.8480
# - total DFT energy (no corrections) (eV per atom) = -5.307

=====

[3]
# Ho2SnPb | OQMD | PBE | relaxed
data_Ho2SnPb
_chemical_formula_sum 'Ho4 Sn2 Pb2'
_symmetry_space_group_name_H-M 'A m m 2'
_symmetry_Int_Tables_number 38
_cell_length_a 4.4357
_cell_length_b 4.3357
_cell_length_c 11.5040
_cell_angle_alpha 90.00
_cell_angle_beta 90.00
_cell_angle_gamma 90.00
loop_
_symmetry_equiv_pos_as_xyz
'x,y,z'
'-x,-y,z'
'-x,y,z'
'x,-y,z'
'x,y+1/2,z+1/2'
'-x,-y+1/2,z+1/2'
'-x,y+1/2,z+1/2'
'x,-y+1/2,z+1/2'
loop_
_atom_site_label
_atom_site_type_symbol
_atom_site_fract_x
_atom_site_fract_y
_atom_site_fract_z
Ho1 Ho 0.0000 0.0000 0.0000
Ho2 Ho 0.5000 0.0000 0.2675
Sn1 Sn 0.5000 0.0000 0.5355
Pb1 Pb 0.0000 0.0000 0.7309
# - total DFT energy (no corrections) (eV per atom) = -4.784